Version P
Here is a relaxed structure of LiMgSbTe2 from the Alexandria database. Energies are from PBE.

Lattice parameters (Å, degrees): 5.617 5.617 5.319 90.00 90.00 90.00
Fractional positions:
Li (0.000, 0.000, 0.000)
Mg (0.500, 0.500, 0.500)
Sb (0.500, 0.500, 0.000)
Te (0.000, 0.500, 0.500)
Te (0.500, 0.000, 0.500)

density: 4.039 g cm⁻³

---

Version Q
Here is a relaxed structure of LiMgSbTe2 from the Alexandria database. Energies are from PBE.

Lattice parameters (Å, degrees): 5.312 5.312 4.808 90.00 90.00 90.00
Fractional positions:
Li (0.000, 0.000, 0.000)
Mg (0.500, 0.500, 0.500)
Sb (0.000, 0.000, 0.500)
Te (0.000, 0.500, 0.000)
Te (0.500, 0.000, 0.000)

density: 4.995 g cm⁻³

---

It is version P that is the most stable of them.

---

Version P
Here is a relaxed structure of Li2Mg2Sc from the Alexandria database. Energies are from PBE.

Lattice parameters (Å, degrees): 11.546 11.546 3.077 90.00 90.00 164.18
Fractional positions:
Li (0.197, 0.803, 0.000)
Li (0.803, 0.197, 0.000)
Mg (0.397, 0.603, 0.500)
Mg (0.603, 0.397, 0.500)
Sc (0.000, 0.000, 0.000)

density: 1.595 g cm⁻³

---

Version Q
Here is a relaxed structure of Li2Mg2Sc from the Alexandria database. Energies are from PBE.

Lattice parameters (Å, degrees): 8.099 8.099 3.189 90.00 90.00 90.00
Fractional positions:
Li (0.122, 0.378, 0.000)
Li (0.378, 0.878, 0.000)
Li (0.622, 0.122, 0.000)
Li (0.878, 0.622, 0.000)
Mg (0.177, 0.677, 0.500)
Mg (0.323, 0.177, 0.500)
Mg (0.677, 0.823, 0.500)
Mg (0.823, 0.323, 0.500)
Sc (0.000, 0.000, 0.000)
Sc (0.500, 0.500, 0.000)

density: 1.706 g cm⁻³

---

It is version P that is the most stable of them.

---

Version P
Here is a relaxed structure of LiMg8Sc2 from the Alexandria database. Energies are from PBE.

Lattice parameters (Å, degrees): 4.490 4.490 12.624 90.00 90.00 90.00
Fractional positions:
Li (0.000, 0.000, 0.000)
Mg (0.000, 0.500, 0.137)
Mg (0.000, 0.500, 0.500)
Mg (0.000, 0.500, 0.863)
Mg (0.500, 0.000, 0.137)
Mg (0.500, 0.000, 0.500)
Mg (0.500, 0.000, 0.863)
Mg (0.500, 0.500, 0.318)
Mg (0.500, 0.500, 0.682)
Sc (0.000, 0.000, 0.315)
Sc (0.000, 0.000, 0.685)

density: 1.901 g cm⁻³

---

Version Q
Here is a relaxed structure of LiMg8Sc2 from the Alexandria database. Energies are from PBE.

Lattice parameters (Å, degrees): 8.425 8.425 6.671 100.62 100.62 32.50
Fractional positions:
Li (0.000, 0.000, 0.000)
Mg (0.093, 0.093, 0.447)
Mg (0.174, 0.174, 0.900)
Mg (0.357, 0.357, 0.829)
Mg (0.463, 0.463, 0.267)
Mg (0.537, 0.537, 0.733)
Mg (0.643, 0.643, 0.171)
Mg (0.826, 0.826, 0.100)
Mg (0.907, 0.907, 0.553)
Sc (0.277, 0.277, 0.357)
Sc (0.723, 0.723, 0.643)

density: 1.937 g cm⁻³

---

It is version Q that is the most stable of them.

---

Version P
Here is a relaxed structure of LiMgSc from the Alexandria database. Energies are from PBE.

Lattice parameters (Å, degrees): 3.275 3.275 12.314 90.09 90.09 89.97
Fractional positions:
Li (0.249, 0.249, 0.071)
Li (0.751, 0.751, 0.929)
Mg (0.253, 0.253, 0.774)
Mg (0.747, 0.747, 0.226)
Sc (0.249, 0.249, 0.408)
Sc (0.751, 0.751, 0.592)

density: 1.916 g cm⁻³

---

Version Q
Here is a relaxed structure of LiMgSc from the Alexandria database. Energies are from PBE.

Lattice parameters (Å, degrees): 4.686 4.686 4.686 60.00 60.00 60.00
Fractional positions:
Li (0.000, 0.000, 0.000)
Mg (0.250, 0.250, 0.250)
Sc (0.750, 0.750, 0.750)

density: 1.739 g cm⁻³

---

Version R
Here is a relaxed structure of LiMgSc from the Alexandria database. Energies are from PBE.

Lattice parameters (Å, degrees): 6.318 6.318 6.318 149.37 149.37 43.87
Fractional positions:
Li (0.000, 0.000, 0.000)
Mg (0.643, 0.643, 0.000)
Sc (0.324, 0.324, 0.000)

density: 1.938 g cm⁻³

---

It is version P that is the most stable of them.

---

Version P
Here is a relaxed structure of LiMgSc from the Alexandria database. Energies are from PBE.

Lattice parameters (Å, degrees): 7.555 7.422 3.092 80.50 75.69 23.81
Fractional positions:
Li (0.000, 0.000, 0.000)
Mg (0.341, 0.341, 0.659)
Sc (0.671, 0.671, 0.329)

density: 1.889 g cm⁻³

---

Version Q
Here is a relaxed structure of LiMgSc from the Alexandria database. Energies are from PBE.

Lattice parameters (Å, degrees): 4.940 4.940 4.940 60.00 60.00 60.00
Fractional positions:
Li (0.000, 0.000, 0.000)
Mg (0.500, 0.500, 0.500)
Sc (0.750, 0.750, 0.750)

density: 1.485 g cm⁻³

---

It is version P that is the most stable of them.

---

Version P
Here is a relaxed structure of LiMg4Sc from the Alexandria database. Energies are from PBE.

Lattice parameters (Å, degrees): 3.359 3.359 11.644 90.00 90.00 90.00
Fractional positions:
Li (0.000, 0.000, 0.000)
Mg (0.000, 0.000, 0.319)
Mg (0.000, 0.000, 0.681)
Mg (0.500, 0.500, 0.148)
Mg (0.500, 0.500, 0.852)
Sc (0.500, 0.500, 0.500)

density: 1.884 g cm⁻³

---

Version Q
Here is a relaxed structure of LiMg4Sc from the Alexandria database. Energies are from PBE.

Lattice parameters (Å, degrees): 5.864 5.864 5.864 60.00 60.00 60.00
Fractional positions:
Li (0.000, 0.000, 0.000)
Mg (0.126, 0.625, 0.625)
Mg (0.625, 0.126, 0.625)
Mg (0.625, 0.625, 0.126)
Mg (0.625, 0.625, 0.625)
Sc (0.250, 0.250, 0.250)

density: 1.737 g cm⁻³

---

Version R
Here is a relaxed structure of LiMg4Sc from the Alexandria database. Energies are from PBE.

Lattice parameters (Å, degrees): 5.873 5.873 5.039 90.00 90.00 128.99
Fractional positions:
Li (0.000, 0.000, 0.000)
Mg (0.170, 0.830, 0.500)
Mg (0.336, 0.664, 0.000)
Mg (0.664, 0.336, 0.000)
Mg (0.830, 0.170, 0.500)
Sc (0.500, 0.500, 0.500)

density: 1.833 g cm⁻³

---

It is version P that is the most stable of them.

---

Version P
Here is a relaxed structure of Li2MgSc2 from the Alexandria database. Energies are from PBE.

Lattice parameters (Å, degrees): 8.947 8.947 8.947 156.63 156.63 33.29
Fractional positions:
Li (0.250, 0.750, 0.500)
Li (0.750, 0.250, 0.500)
Mg (0.000, 0.000, 0.000)
Sc (0.403, 0.403, 0.000)
Sc (0.597, 0.597, 0.000)

density: 1.889 g cm⁻³

---

Version Q
Here is a relaxed structure of Li2MgSc2 from the Alexandria database. Energies are from PBE.

Lattice parameters (Å, degrees): 6.796 6.796 4.662 90.00 90.00 90.00
Fractional positions:
Li (0.124, 0.376, 0.000)
Li (0.376, 0.876, 0.000)
Li (0.624, 0.124, 0.000)
Li (0.876, 0.624, 0.000)
Mg (0.000, 0.000, 0.000)
Mg (0.500, 0.500, 0.000)
Sc (0.179, 0.679, 0.500)
Sc (0.321, 0.179, 0.500)
Sc (0.679, 0.821, 0.500)
Sc (0.821, 0.321, 0.500)

density: 1.976 g cm⁻³

---

It is version Q that is the most stable of them.

---

Version P
Here is a relaxed structure of LiMgScSn from the Alexandria database. Energies are from PBE.

Lattice parameters (Å, degrees): 4.920 4.920 4.920 60.00 60.00 60.00
Fractional positions:
Li (0.000, 0.000, 0.000)
Mg (0.750, 0.750, 0.750)
Sc (0.500, 0.500, 0.500)
Sn (0.250, 0.250, 0.250)

density: 3.844 g cm⁻³

---

Version Q
Here is a relaxed structure of LiMgScSn from the Alexandria database. Energies are from PBE.

Lattice parameters (Å, degrees): 4.180 4.310 4.682 90.00 90.00 90.00
Fractional positions:
Li (0.000, 0.000, 0.000)
Mg (0.500, 0.500, 0.000)
Sc (0.000, 0.500, 0.500)
Sn (0.500, 0.000, 0.500)

density: 3.836 g cm⁻³

---

It is version Q that is the most stable of them.

---

Version P
Here is a relaxed structure of LiMg3Se from the Alexandria database. Energies are from PBE.

Lattice parameters (Å, degrees): 4.930 4.930 4.930 90.00 90.00 90.00
Fractional positions:
Li (0.000, 0.000, 0.000)
Mg (0.000, 0.000, 0.500)
Mg (0.000, 0.500, 0.000)
Mg (0.500, 0.000, 0.000)
Se (0.500, 0.500, 0.500)

density: 2.200 g cm⁻³

---

Version Q
Here is a relaxed structure of LiMg3Se from the Alexandria database. Energies are from PBE.

Lattice parameters (Å, degrees): 5.173 5.173 5.173 90.00 90.00 90.00
Fractional positions:
Li (0.000, 0.000, 0.000)
Mg (0.000, 0.500, 0.500)
Mg (0.500, 0.000, 0.500)
Mg (0.500, 0.500, 0.000)
Se (0.500, 0.500, 0.500)

density: 1.905 g cm⁻³

---

It is version Q that is the most stable of them.

---

Version P
Here is a relaxed structure of Li2Mg2Se from the Alexandria database. Energies are from PBE.

Lattice parameters (Å, degrees): 7.522 7.522 7.522 149.80 149.80 43.24
Fractional positions:
Li (0.082, 0.082, 0.000)
Li (0.918, 0.918, 0.000)
Mg (0.250, 0.750, 0.500)
Mg (0.750, 0.250, 0.500)
Se (0.500, 0.500, 0.000)

density: 2.186 g cm⁻³

---

Version Q
Here is a relaxed structure of Li2Mg2Se from the Alexandria database. Energies are from PBE.

Lattice parameters (Å, degrees): 6.472 6.472 4.966 90.00 90.00 90.00
Fractional positions:
Li (0.153, 0.347, 0.000)
Li (0.347, 0.847, 0.000)
Li (0.653, 0.153, 0.000)
Li (0.847, 0.653, 0.000)
Mg (0.168, 0.668, 0.500)
Mg (0.332, 0.168, 0.500)
Mg (0.668, 0.832, 0.500)
Mg (0.832, 0.332, 0.500)
Se (0.000, 0.000, 0.000)
Se (0.500, 0.500, 0.000)

density: 2.258 g cm⁻³

---

It is version Q that is the most stable of them.

---

Version P
Here is a relaxed structure of Li4MgSi from the Alexandria database. Energies are from PBE.

Lattice parameters (Å, degrees): 4.464 4.464 5.565 90.00 90.00 120.00
Fractional positions:
Li (0.333, 0.667, 0.217)
Li (0.333, 0.667, 0.783)
Li (0.667, 0.333, 0.217)
Li (0.667, 0.333, 0.783)
Mg (0.000, 0.000, 0.500)
Si (0.000, 0.000, 0.000)

density: 1.386 g cm⁻³

---

Version Q
Here is a relaxed structure of Li4MgSi from the Alexandria database. Energies are from PBE.

Lattice parameters (Å, degrees): 4.442 6.699 6.970 90.00 108.37 90.00
Fractional positions:
Li (0.037, 0.250, 0.075)
Li (0.165, 0.524, 0.331)
Li (0.165, 0.976, 0.331)
Li (0.300, 0.250, 0.600)
Li (0.700, 0.750, 0.400)
Li (0.835, 0.024, 0.669)
Li (0.835, 0.476, 0.669)
Li (0.963, 0.750, 0.925)
Mg (0.500, 0.000, 0.000)
Mg (0.500, 0.500, 0.000)
Si (0.334, 0.750, 0.666)
Si (0.666, 0.250, 0.334)

density: 1.352 g cm⁻³

---

It is version P that is the most stable of them.

---

Version P
Here is a relaxed structure of Li2Mg2Si from the Alexandria database. Energies are from PBE.

Lattice parameters (Å, degrees): 6.865 6.865 4.471 90.00 90.00 90.00
Fractional positions:
Li (0.163, 0.337, 0.000)
Li (0.337, 0.837, 0.000)
Li (0.663, 0.163, 0.000)
Li (0.837, 0.663, 0.000)
Mg (0.148, 0.648, 0.500)
Mg (0.352, 0.148, 0.500)
Mg (0.648, 0.852, 0.500)
Mg (0.852, 0.352, 0.500)
Si (0.000, 0.000, 0.500)
Si (0.500, 0.500, 0.500)

density: 1.427 g cm⁻³

---

Version Q
Here is a relaxed structure of Li2Mg2Si from the Alexandria database. Energies are from PBE.

Lattice parameters (Å, degrees): 8.518 8.518 8.518 156.44 156.44 33.56
Fractional positions:
Li (0.250, 0.750, 0.500)
Li (0.750, 0.250, 0.500)
Mg (0.097, 0.097, 0.000)
Mg (0.903, 0.903, 0.000)
Si (0.500, 0.500, 0.000)

density: 1.525 g cm⁻³

---

It is version P that is the most stable of them.